# 1
Below is a PBEsol-optimized structure of Al3TcCl, with properties calculated at the SCAN level.

It has space group Pm-3m (No. 221), with a = 4.509 Å, b = 4.509 Å, c = 4.509 Å, α = 90.00°, β = 90.00° and γ = 90.00°. The distinct sites, in fractional coordinates, are Al at (0.000, 0.000, 0.500), Tc at (0.500, 0.500, 0.500) and Cl at (0.000, 0.000, 0.000).

The uncorrected formation energy comes out at 1019 meV/atom. The total magnetization comes out at 2.2 μB per formula unit. As for the density of states at the Fermi level: 1.72 states/eV/f.u. The calculation puts the density at 3.88 g/cm3.

---

# 2
Below is a PBEsol-optimized structure of AlTc2Cl, with properties calculated at the SCAN level.

It has space group Fm-3m (No. 225), with a = 6.055 Å, b = 6.055 Å, c = 6.055 Å, α = 90.00°, β = 90.00° and γ = 90.00°. The distinct sites, in fractional coordinates, are Al at (0.000, 0.000, 0.000), Tc at (0.250, 0.250, 0.250) and Cl at (0.000, 0.000, 0.500).

The uncorrected formation energy comes out at 660 meV/atom. The total magnetization comes out at 0.0 μB per formula unit. As for the density of states at the Fermi level: 3.26 states/eV/f.u. The calculation puts the density at 7.73 g/cm3.

---

# 3
Below is a PBEsol-optimized structure of AlTc2Cl, with properties calculated at the SCAN level.

It has space group Cmm2 (No. 35), with a = 2.975 Å, b = 4.839 Å, c = 8.301 Å, α = 90.00°, β = 90.00° and γ = 90.00°. The distinct sites, in fractional coordinates, are Al at (0.000, 0.000, 0.000), Tc at (0.000, 0.000, 0.510), Tc at (0.000, 0.500, 0.752) and Cl at (0.000, 0.500, 0.235).

The uncorrected formation energy comes out at 199 meV/atom. The total magnetization comes out at 0.0 μB per formula unit. As for the density of states at the Fermi level: 2.62 states/eV/f.u. The calculation puts the density at 7.18 g/cm3.

---

# 4
Below is a PBEsol-optimized structure of AlTcCl2, with properties calculated at the SCAN level.

It has space group Cmmm (No. 65), with a = 6.177 Å, b = 7.723 Å, c = 3.147 Å, α = 90.00°, β = 90.00° and γ = 90.00°. The distinct sites, in fractional coordinates, are Al at (0.000, 0.000, 0.000), Tc at (0.000, 0.500, 0.000) and Cl at (0.250, 0.250, 0.500).

The uncorrected formation energy comes out at 437 meV/atom. The total magnetization comes out at 4.0 μB per formula unit. As for the density of states at the Fermi level: 1.24 states/eV/f.u. The calculation puts the density at 4.33 g/cm3.

---

# 5
Below is a PBEsol-optimized structure of AlTcCl2, with properties calculated at the SCAN level.

It has space group Fm-3m (No. 225), with a = 6.373 Å, b = 6.373 Å, c = 6.373 Å, α = 90.00°, β = 90.00° and γ = 90.00°. The distinct sites, in fractional coordinates, are Al at (0.000, 0.000, 0.000), Tc at (0.000, 0.000, 0.500) and Cl at (0.250, 0.250, 0.250).

The uncorrected formation energy comes out at 484 meV/atom. The total magnetization comes out at 2.6 μB per formula unit. As for the density of states at the Fermi level: 1.16 states/eV/f.u. The calculation puts the density at 5.03 g/cm3.

---

# 6
Below is a PBEsol-optimized structure of AlTc2Cl, with properties calculated at the SCAN level.

It has space group P4/mmm (No. 123), with a = 4.318 Å, b = 4.318 Å, c = 2.923 Å, α = 90.00°, β = 90.00° and γ = 90.00°. The distinct sites, in fractional coordinates, are Al at (0.000, 0.000, 0.000), Tc at (0.000, 0.500, 0.500) and Cl at (0.500, 0.500, 0.000).

The uncorrected formation energy comes out at 472 meV/atom. The total magnetization comes out at 0.0 μB per formula unit. As for the density of states at the Fermi level: 3.04 states/eV/f.u. The calculation puts the density at 7.87 g/cm3.

---

| no. | raw total energy (eV/cell) |
| --- | --- |
| 1 | -61.197 |
| 2 | -332.833 |
| 3 | -170.111 |
| 4 | -114.042 |
| 5 | -227.320 |
| 6 | -83.961 |